(1)
Below is crystalline VCoGeRh at its relaxed geometry, with properties calculated at the GGA-PBE level.

Values from the calculation:
The space-group type is I-4m2 (119). Its volume is 12.9 Å³ per atom. The calculation puts the energy of formation from the pure elements at -0.3478 eV/atom. The value obtained for the energy relative to the lowest polymorph listed for this composition is 0 meV/atom.

Structure (CIF):
```
data_VCoGeRh
_symmetry_space_group_name_H-M 'P 1'
_symmetry_Int_Tables_number 1
_cell_length_a 4.472
_cell_length_b 4.472
_cell_length_c 4.472
_cell_angle_alpha 129.64
_cell_angle_beta 129.64
_cell_angle_gamma 73.98
loop_
_symmetry_equiv_pos_as_xyz
'x,y,z'
loop_
_atom_site_label
_atom_site_fract_x
_atom_site_fract_y
_atom_site_fract_z
V1 0.000 0.000 0.000
Co1 0.750 0.250 0.500
Ge1 0.500 0.500 0.000
Rh1 0.250 0.750 0.500
```


(2)
Below is crystalline KPa2PN5 at its relaxed geometry, with properties calculated at the GGA-PBE level.

Values from the calculation:
The space-group type is I4/mcm (140). Its volume is 13.3 Å³ per atom. The calculation puts the raw formation energy at -1.05 eV per atom.

Structure (CIF):
```
data_KPa2PN5
_symmetry_space_group_name_H-M 'P 1'
_symmetry_Int_Tables_number 1
_cell_length_a 7.128
_cell_length_b 7.128
_cell_length_c 7.128
_cell_angle_alpha 123.74
_cell_angle_beta 123.74
_cell_angle_gamma 83.64
loop_
_symmetry_equiv_pos_as_xyz
'x,y,z'
loop_
_atom_site_label
_atom_site_fract_x
_atom_site_fract_y
_atom_site_fract_z
K1 0.250 0.250 0.000
K2 0.750 0.750 0.000
Pa1 0.192 0.692 0.885
Pa2 0.308 0.192 0.500
Pa3 0.692 0.808 0.500
Pa4 0.808 0.308 0.115
P1 0.250 0.750 0.500
P2 0.750 0.250 0.500
N1 0.000 0.000 0.000
N2 0.014 0.774 0.500
N3 0.226 0.726 0.240
N4 0.274 0.514 0.500
N5 0.486 0.986 0.760
N6 0.500 0.500 0.000
N7 0.514 0.014 0.240
N8 0.726 0.486 0.500
N9 0.774 0.274 0.760
N10 0.986 0.226 0.500
```


(3)
Below is crystalline NdTmCuAg at its relaxed geometry, with properties calculated at the GGA-PBE level.

Values from the calculation:
The space-group type is F-43m (216). Its volume is 23.4 Å³ per atom. The calculation puts the energy of formation from the pure elements at -0.2200 eV/atom. The value obtained for the energy relative to the lowest polymorph listed for this composition is 39 meV/atom.

Structure (CIF):
```
data_NdTmCuAg
_symmetry_space_group_name_H-M 'P 1'
_symmetry_Int_Tables_number 1
_cell_length_a 5.099
_cell_length_b 5.099
_cell_length_c 5.099
_cell_angle_alpha 60.00
_cell_angle_beta 60.00
_cell_angle_gamma 60.00
loop_
_symmetry_equiv_pos_as_xyz
'x,y,z'
loop_
_atom_site_label
_atom_site_fract_x
_atom_site_fract_y
_atom_site_fract_z
Nd1 0.000 0.000 0.000
Tm1 0.500 0.500 0.500
Cu1 0.250 0.250 0.250
Ag1 0.750 0.750 0.750
```